# BaNd2CuMo4O16

A relaxed BaNd2CuMo4O16 crystal (GGA+U, Alexandria).

* electronic total energy: -0.2657 Ha/atom
* V: 14.27 Å³ per atom

a b c (Å): 5.3794 12.9562 19.6797
angles (deg): 90.00 92.66 90.00
With the nearest neighbours (Å) after each atom.
Space group C2/c (No. 15)
Asymmetric unit:
Ba  0.0000  0.0289  0.2500 [4 per cell]  8 O 2.74-3.05
Nd  0.0043  0.1434  0.0322 [8 per cell]  8 O 2.44-2.57
Cu  0.0000  0.3180  0.2500 [4 per cell]  4 O 2.01-2.09
Mo  0.0111  0.2595  0.6498 [8 per cell]  4 O 1.78-1.84
Mo  0.0181  0.4395  0.0955 [8 per cell]  4 O 1.83-1.90
O  0.1149  0.4214  0.3212 [8 per cell]  1 Mo 1.83, 1 Cu 2.01
O  0.1316  0.1430  0.8245 [8 per cell]  1 Mo 1.78
O  0.1568  0.3309  0.0449 [8 per cell]  1 Mo 1.90
O  0.1712  0.2391  0.5703 [8 per cell]  1 Mo 1.84
O  0.2370  0.3528  0.8625 [8 per cell]  1 Mo 1.81
O  0.2433  0.2930  0.7153 [8 per cell]  1 Mo 1.81
O  0.2442  0.0211  0.5382 [8 per cell]  1 Mo 1.88
O  0.2447  0.4551  0.6087 [8 per cell]  1 Mo 1.84